Entry w
Below is a relaxed Nd2Se2O crystal, with properties calculated at the PBE-GGA level.

Space-group type: Ibam, No. 72
Spin magnetization: 0.0 μB/cell

a = 5.956 Å, b = 7.374 Å, c = 7.374 Å
α = 55.40°, β = 66.18°, γ = 66.18°
Sites, in units of the cell vectors:
Nd  0.103  0.602  0.192
Nd  0.897  0.398  0.808
Nd  0.397  0.808  0.398
Nd  0.603  0.192  0.602
Se  0.356  0.294  0.993
Se  0.644  0.706  0.007
Se  0.144  0.007  0.706
Se  0.856  0.993  0.294
O  0.250  0.500  0.500
O  0.750  0.500  0.500


Entry x
Below is a relaxed Nd2Se2O crystal, with properties calculated at the PBE-GGA level.

Space-group type: Cmc2_1, No. 36
Spin magnetization: 0.0 μB/cell

a = 4.101 Å, b = 7.592 Å, c = 8.011 Å
α = 90.00°, β = 104.83°, γ = 90.00°
Sites, in units of the cell vectors:
Nd  0.552  0.589  0.104
Nd  0.158  0.972  0.317
Nd  0.842  0.472  0.683
Nd  0.448  0.089  0.896
Se  0.048  0.286  0.096
Se  0.205  0.601  0.409
Se  0.795  0.101  0.591
Se  0.952  0.786  0.904
O  0.591  0.917  0.182
O  0.409  0.417  0.818


Top of the stability list: entry w, leading by 17 meV/atom.


Entry w
Below is a relaxed Nd3Se3O crystal, with properties calculated at the PBE-GGA level.

Space-group type: C2/m, No. 12
Spin magnetization: 0.0 μB/cell

a = 7.378 Å, b = 7.378 Å, c = 7.227 Å
α = 95.57°, β = 95.57°, γ = 111.59°
Sites, in units of the cell vectors:
Nd  0.905  0.905  0.189
Nd  0.835  0.536  0.712
Nd  0.536  0.835  0.712
Nd  0.165  0.464  0.288
Nd  0.464  0.165  0.288
Nd  0.095  0.095  0.811
Se  0.611  0.611  0.348
Se  0.162  0.838  0.500
Se  0.838  0.162  0.500
Se  0.239  0.761  0.000
Se  0.761  0.239  0.000
Se  0.389  0.389  0.652
O  0.818  0.818  0.867
O  0.182  0.182  0.133


Entry x
Below is a relaxed Nd3Se3O crystal, with properties calculated at the PBE-GGA level.

Space-group type: Pnma, No. 62
Spin magnetization: 0.0 μB/cell

a = 4.129 Å, b = 12.248 Å, c = 13.405 Å
α = 90.00°, β = 90.00°, γ = 90.00°
Sites, in units of the cell vectors:
Nd  0.750  0.976  0.840
Nd  0.250  0.524  0.340
Nd  0.250  0.024  0.160
Nd  0.750  0.476  0.660
Nd  0.750  0.897  0.387
Nd  0.250  0.603  0.887
Nd  0.250  0.103  0.613
Nd  0.750  0.397  0.113
Nd  0.750  0.761  0.130
Nd  0.250  0.739  0.630
Nd  0.250  0.239  0.870
Nd  0.750  0.261  0.370
Se  0.750  0.736  0.791
Se  0.250  0.764  0.291
Se  0.250  0.264  0.209
Se  0.750  0.236  0.709
Se  0.750  0.144  0.010
Se  0.250  0.356  0.510
Se  0.250  0.856  0.990
Se  0.750  0.644  0.490
Se  0.750  0.927  0.611
Se  0.250  0.573  0.111
Se  0.250  0.073  0.389
Se  0.750  0.427  0.889
O  0.750  0.944  0.201
O  0.250  0.556  0.701
O  0.250  0.056  0.799
O  0.750  0.444  0.299


Top of the stability list: entry x, leading by 111 meV/atom.


Entry w
Below is a relaxed Nd2SiO crystal, with properties calculated at the PBE-GGA level.

Space-group type: Imm2, No. 44
Spin magnetization: 0.0 μB/cell

a = 3.328 Å, b = 3.563 Å, c = 7.522 Å
α = 103.70°, β = 102.78°, γ = 90.00°
Sites, in units of the cell vectors:
Nd  0.972  0.972  0.944
Nd  0.184  0.684  0.367
Si  0.806  0.306  0.612
O  0.538  0.538  0.077


Entry x
Below is a relaxed Nd2SiO crystal, with properties calculated at the PBE-GGA level.

Space-group type: R-3m, No. 166
Spin magnetization: 0.0 μB/cell

a = 3.879 Å, b = 3.879 Å, c = 6.943 Å
α = 73.78°, β = 73.78°, γ = 60.00°
Sites, in units of the cell vectors:
Si  0.000  0.000  0.000
Nd  0.239  0.239  0.284
Nd  0.761  0.761  0.716
O  0.500  0.500  0.500


Top of the stability list: entry x, leading by 202 meV/atom.


Entry w
Below is a relaxed Nd2SiO5 crystal, with properties calculated at the PBE-GGA level.

Space-group type: C2/c, No. 15
Spin magnetization: 0.0 μB/cell

a = 7.019 Å, b = 8.230 Å, c = 10.040 Å
α = 72.66°, β = 69.54°, γ = 64.76°
Sites, in units of the cell vectors:
Nd  0.524  0.045  0.666
Nd  0.711  0.110  0.964
Nd  0.784  0.390  0.536
Nd  0.766  0.545  0.166
Nd  0.234  0.455  0.834
Nd  0.216  0.610  0.464
Nd  0.289  0.890  0.036
Nd  0.476  0.955  0.334
Si  0.908  0.053  0.308
Si  0.268  0.447  0.192
Si  0.732  0.553  0.808
Si  0.092  0.947  0.692
O  0.905  0.040  0.147
O  0.261  0.039  0.566
O  0.838  0.079  0.683
O  0.436  0.240  0.172
O  0.848  0.260  0.328
O  0.392  0.138  0.896
O  0.426  0.362  0.604
O  0.092  0.460  0.353
O  0.133  0.539  0.066
O  0.601  0.421  0.817
O  0.399  0.579  0.183
O  0.867  0.461  0.934
O  0.908  0.540  0.647
O  0.574  0.638  0.396
O  0.608  0.862  0.104
O  0.152  0.740  0.672
O  0.564  0.760  0.828
O  0.162  0.921  0.317
O  0.739  0.961  0.434
O  0.095  0.960  0.853


Entry x
Below is a relaxed Nd2SiO5 crystal, with properties calculated at the PBE-GGA level.

Space-group type: I4mm, No. 107
Spin magnetization: 0.0 μB/cell

a = 5.515 Å, b = 5.515 Å, c = 5.349 Å
α = 121.04°, β = 121.04°, γ = 90.00°
Sites, in units of the cell vectors:
Nd  0.213  0.713  0.427
Nd  0.713  0.213  0.427
Si  0.974  0.974  0.948
O  0.812  0.250  0.062
O  0.250  0.250  0.062
O  0.812  0.812  0.062
O  0.250  0.812  0.062
O  0.752  0.752  0.504


Top of the stability list: entry w, leading by 321 meV/atom.


Entry w
Below is a relaxed Nd2SiTeO4 crystal, with properties calculated at the PBE-GGA level.

Space-group type: P2_1/c, No. 14
Spin magnetization: 0.0 μB/cell

a = 6.474 Å, b = 8.794 Å, c = 9.976 Å
α = 84.71°, β = 90.00°, γ = 90.00°
Sites, in units of the cell vectors:
Nd  0.304  0.837  0.654
Nd  0.196  0.337  0.654
Nd  0.696  0.163  0.346
Nd  0.804  0.663  0.346
Nd  0.153  0.305  0.106
Nd  0.653  0.195  0.894
Nd  0.847  0.695  0.894
Nd  0.347  0.805  0.106
Si  0.809  0.943  0.125
Si  0.191  0.057  0.875
Si  0.309  0.557  0.875
Si  0.691  0.443  0.125
Te  0.714  0.381  0.591
Te  0.214  0.119  0.409
Te  0.286  0.619  0.409
Te  0.786  0.881  0.591
O  0.862  0.408  0.248
O  0.362  0.092  0.752
O  0.138  0.592  0.752
O  0.638  0.908  0.248
O  0.509  0.316  0.157
O  0.009  0.184  0.843
O  0.491  0.684  0.843
O  0.991  0.816  0.157
O  0.867  0.124  0.126
O  0.194  0.578  0.019
O  0.133  0.876  0.874
O  0.633  0.624  0.126
O  0.306  0.078  0.019
O  0.806  0.422  0.981
O  0.694  0.922  0.981
O  0.367  0.376  0.874


Entry x
Below is a relaxed Nd2SiTeO4 crystal, with properties calculated at the PBE-GGA level.

Space-group type: Pbcm, No. 57
Spin magnetization: 0.0 μB/cell

a = 6.358 Å, b = 7.265 Å, c = 11.300 Å
α = 90.00°, β = 90.00°, γ = 90.00°
Sites, in units of the cell vectors:
Nd  0.388  0.750  0.500
Nd  0.388  0.750  0.000
Nd  0.612  0.250  0.500
Nd  0.612  0.250  0.000
Nd  0.887  0.961  0.750
Nd  0.887  0.539  0.250
Nd  0.113  0.461  0.750
Nd  0.113  0.039  0.250
Si  0.114  0.250  0.000
Si  0.886  0.750  0.000
Si  0.886  0.750  0.500
Si  0.114  0.250  0.500
Te  0.596  0.579  0.750
Te  0.596  0.921  0.250
Te  0.404  0.079  0.750
Te  0.404  0.421  0.250
O  0.270  0.077  0.464
O  0.270  0.423  0.536
O  0.730  0.577  0.036
O  0.730  0.923  0.964
O  0.730  0.923  0.536
O  0.730  0.577  0.464
O  0.270  0.423  0.964
O  0.270  0.077  0.036
O  0.048  0.769  0.385
O  0.048  0.769  0.115
O  0.952  0.269  0.115
O  0.952  0.231  0.885
O  0.952  0.231  0.615
O  0.952  0.269  0.385
O  0.048  0.731  0.885
O  0.048  0.731  0.615


Top of the stability list: entry x, leading by 7 meV/atom.


Entry w
Below is a relaxed Nd2SmO crystal, with properties calculated at the PBE-GGA level.

Space-group type: R-3m, No. 166
Spin magnetization: 0.3 μB/cell

a = 3.638 Å, b = 3.638 Å, c = 9.755 Å
α = 79.25°, β = 79.25°, γ = 60.00°
Site moments in Bohr magnetons follow the coordinates.
Sites, in units of the cell vectors:
Nd  0.119  0.119  0.643  0.03
Nd  0.881  0.881  0.357  0.03
O  0.500  0.500  0.500  0.00
Sm  0.000  0.000  0.000  0.06


Entry x
Below is a relaxed Nd2SmO crystal, with properties calculated at the PBE-GGA level.

Space-group type: P4/mmm, No. 123
Spin magnetization: 0.0 μB/cell

a = 3.261 Å, b = 3.261 Å, c = 9.239 Å
α = 90.00°, β = 90.00°, γ = 90.00°
Sites, in units of the cell vectors:
Nd  0.000  0.000  0.830
Nd  0.000  0.000  0.170
O  0.500  0.500  0.000
Sm  0.500  0.500  0.500


Top of the stability list: entry w, leading by 329 meV/atom.


Entry w
Below is a relaxed Nd3SnO6 crystal, with properties calculated at the PBE-GGA level.

Space-group type: R-3, No. 148
Spin magnetization: 0.0 μB/cell

a = 6.987 Å, b = 6.987 Å, c = 6.987 Å
α = 93.10°, β = 93.10°, γ = 93.10°
Sites, in units of the cell vectors:
Nd  0.439  0.931  0.745
Nd  0.931  0.745  0.439
Nd  0.255  0.561  0.069
Nd  0.745  0.439  0.931
Nd  0.069  0.255  0.561
Nd  0.561  0.069  0.255
Sn  0.000  0.000  0.000
Sn  0.500  0.500  0.500
O  0.332  0.889  0.060
O  0.111  0.940  0.668
O  0.586  0.792  0.465
O  0.940  0.668  0.111
O  0.465  0.586  0.792
O  0.208  0.535  0.414
O  0.792  0.465  0.586
O  0.535  0.414  0.208
O  0.060  0.332  0.889
O  0.414  0.208  0.535
O  0.889  0.060  0.332
O  0.668  0.111  0.940


Entry x
Below is a relaxed Nd3SnO6 crystal, with properties calculated at the PBE-GGA level.

Space-group type: Cmc2_1, No. 36
Spin magnetization: 0.0 μB/cell

a = 5.833 Å, b = 7.476 Å, c = 7.476 Å
α = 102.48°, β = 90.00°, γ = 90.00°
Sites, in units of the cell vectors:
Nd  0.478  0.910  0.695
Nd  0.978  0.695  0.910
Nd  0.424  0.399  0.601
Nd  0.924  0.601  0.399
Nd  0.978  0.090  0.305
Nd  0.478  0.305  0.090
Sn  0.989  0.168  0.832
Sn  0.489  0.832  0.168
O  0.200  0.675  0.646
O  0.700  0.646  0.675
O  0.173  0.413  0.897
O  0.673  0.897  0.413
O  0.230  0.018  0.982
O  0.640  0.226  0.774
O  0.140  0.774  0.226
O  0.730  0.982  0.018
O  0.173  0.103  0.587
O  0.673  0.587  0.103
O  0.200  0.354  0.325
O  0.700  0.325  0.354


Top of the stability list: entry w, leading by 39 meV/atom.


Entry w
Below is a relaxed SrNd2O4 crystal, with properties calculated at the PBE-GGA level.

Space-group type: Fd-3m, No. 227
Spin magnetization: 0.0 μB/cell

a = 7.209 Å, b = 7.209 Å, c = 7.209 Å
α = 60.00°, β = 60.00°, γ = 60.00°
Sites, in units of the cell vectors:
Sr  0.750  0.750  0.750
Sr  0.500  0.500  0.500
Nd  0.125  0.125  0.625
Nd  0.625  0.125  0.125
Nd  0.125  0.625  0.125
Nd  0.125  0.125  0.125
O  0.890  0.890  0.890
O  0.890  0.331  0.890
O  0.331  0.890  0.890
O  0.360  0.360  0.919
O  0.890  0.890  0.331
O  0.919  0.360  0.360
O  0.360  0.919  0.360
O  0.360  0.360  0.360


Entry x
Below is a relaxed SrNd2O4 crystal, with properties calculated at the PBE-GGA level.

Space-group type: Pnma, No. 62
Spin magnetization: 0.0 μB/cell

a = 3.590 Å, b = 10.332 Å, c = 12.380 Å
α = 90.00°, β = 90.00°, γ = 90.00°
Sites, in units of the cell vectors:
Sr  0.750  0.250  0.354
Sr  0.250  0.250  0.854
Sr  0.750  0.750  0.146
Sr  0.250  0.750  0.646
Nd  0.750  0.070  0.616
Nd  0.750  0.089  0.110
Nd  0.250  0.411  0.610
Nd  0.250  0.430  0.116
Nd  0.750  0.570  0.884
Nd  0.750  0.589  0.390
Nd  0.250  0.911  0.890
Nd  0.250  0.930  0.384
O  0.250  0.998  0.714
O  0.750  0.070  0.918
O  0.250  0.136  0.484
O  0.250  0.219  0.185
O  0.750  0.281  0.685
O  0.750  0.364  0.984
O  0.250  0.430  0.418
O  0.750  0.502  0.214
O  0.250  0.498  0.786
O  0.750  0.570  0.582
O  0.250  0.636  0.016
O  0.250  0.719  0.315
O  0.750  0.781  0.815
O  0.750  0.864  0.516
O  0.250  0.930  0.082
O  0.750  0.002  0.286


Top of the stability list: entry w, leading by 6 meV/atom.